Entry 1:
A PBEsol-optimized structure of HfIrPtC2, computed with SCAN.

It has space group P4/mmm (No. 123), with a = 3.829 Å, b = 3.829 Å, c = 5.302 Å, α = 90.00°, β = 90.00° and γ = 90.00°. Symmetry generates all atoms from Hf at (0.000, 0.000, 0.000), Ir at (0.500, 0.500, 0.000), Pt at (0.500, 0.500, 0.500) and C at (0.000, 0.500, 0.500).

The formation energy is 1357.1 meV/atom. For the total magnetization, the calculation gives 0.000 μB/atom. Its final energy is -43.476 eV per atom.

Entry 2:
A PBEsol-optimized structure of KHf2C, computed with SCAN.

It has space group Fd-3m (No. 227, origin choice 2), with a = 9.708 Å, b = 9.708 Å, c = 9.708 Å, α = 90.00°, β = 90.00° and γ = 90.00°. Symmetry generates all atoms from K at (0.125, 0.125, 0.125), Hf at (0.000, 0.000, 0.500) and C at (0.125, 0.125, 0.625).

The formation energy is 623.1 meV/atom. For the total magnetization, the calculation gives 0.380 μB/atom. Its final energy is -35.321 eV per atom.

Entry 3:
A PBEsol-optimized structure of KHfPCO7, computed with SCAN.

It has space group P2_1 (No. 4), with a = 5.348 Å, b = 6.587 Å, c = 9.633 Å, α = 90.00°, β = 95.61° and γ = 90.00°. Symmetry generates all atoms from K at (0.071, 0.000, 0.121), Hf at (0.272, 0.871, 0.661), P at (0.276, 0.369, 0.568), C at (0.479, 0.863, 0.912), O at (0.070, 0.366, 0.445), O at (0.229, 0.865, 0.875), O at (0.249, 0.558, 0.659), O at (0.258, 0.180, 0.660), O at (0.393, 0.347, 0.199), O at (0.428, 0.376, 0.966) and O at (0.468, 0.872, 0.493).

For the total magnetization, the calculation gives 0.006 μB/atom. Its final energy is -14.882 eV per atom. Its formation energy from raw total energies is -2757 kJ/mol of formula units.

Entry 4:
A PBEsol-optimized structure of La3HfC, computed with SCAN.

It has space group Pm-3m (No. 221), with a = 5.125 Å, b = 5.125 Å, c = 5.125 Å, α = 90.00°, β = 90.00° and γ = 90.00°. Symmetry generates all atoms from La at (0.000, 0.000, 0.500), Hf at (0.500, 0.500, 0.500) and C at (0.000, 0.000, 0.000).

The formation energy is 266.4 meV/atom. For the total magnetization, the calculation gives 0.000 μB/atom. Its final energy is -40.151 eV per atom.

Entry 5:
A PBEsol-optimized structure of LiHfC2N, computed with SCAN.

It has space group P4/mmm (No. 123), with a = 3.201 Å, b = 3.201 Å, c = 4.966 Å, α = 90.00°, β = 90.00° and γ = 90.00°. Symmetry generates all atoms from Li at (0.000, 0.000, 0.000), Hf at (0.000, 0.000, 0.500), C at (0.000, 0.500, 0.000) and N at (0.500, 0.500, 0.500).

For the total magnetization, the calculation gives 0.000 μB/atom. Its final energy is -17.196 eV per atom. Its formation energy from raw total energies is 827 kJ/mol of formula units.

Entry 6:
A PBEsol-optimized structure of LiHfPb2C, computed with SCAN.

It has space group P4/mmm (No. 123), with a = 4.563 Å, b = 4.563 Å, c = 4.885 Å, α = 90.00°, β = 90.00° and γ = 90.00°. Symmetry generates all atoms from Li at (0.000, 0.000, 0.000), Hf at (0.000, 0.000, 0.500), Pb at (0.000, 0.500, 0.000) and C at (0.500, 0.500, 0.500).

The formation energy is 1602.4 meV/atom. For the total magnetization, the calculation gives 0.088 μB/atom. Its final energy is -43.743 eV per atom.

Entry 7:
A PBEsol-optimized structure of LiHfTc2C, computed with SCAN.

It has space group P4/mmm (No. 123), with a = 4.622 Å, b = 4.622 Å, c = 4.776 Å, α = 90.00°, β = 90.00° and γ = 90.00°. Symmetry generates all atoms from Li at (0.000, 0.000, 0.000), Hf at (0.000, 0.000, 0.500), Tc at (0.000, 0.500, 0.500) and C at (0.500, 0.500, 0.000).

The formation energy is 2829.3 meV/atom. For the total magnetization, the calculation gives 0.408 μB/atom. Its final energy is -26.227 eV per atom.

Entry 8:
A PBEsol-optimized structure of Hf3MgC, computed with SCAN.

It has space group Pm-3m (No. 221), with a = 4.489 Å, b = 4.489 Å, c = 4.489 Å, α = 90.00°, β = 90.00° and γ = 90.00°. Symmetry generates all atoms from Hf at (0.000, 0.000, 0.500), Mg at (0.500, 0.500, 0.500) and C at (0.000, 0.000, 0.000).

The formation energy is -347.5 meV/atom. For the total magnetization, the calculation gives 0.000 μB/atom. Its final energy is -40.966 eV per atom.

Entry 9:
A PBEsol-optimized structure of HfMgOs2C, computed with SCAN.

It has space group P4/mmm (No. 123), with a = 4.082 Å, b = 4.082 Å, c = 4.332 Å, α = 90.00°, β = 90.00° and γ = 90.00°. Symmetry generates all atoms from Hf at (0.000, 0.000, 0.000), Mg at (0.500, 0.500, 0.000), Os at (0.000, 0.500, 0.500) and C at (0.000, 0.000, 0.500).

The formation energy is -0.1 meV/atom. For the total magnetization, the calculation gives 0.000 μB/atom. Its final energy is -44.301 eV per atom.

Entry 10:
A PBEsol-optimized structure of Hf3MoC, computed with SCAN.

It has space group Pm-3m (No. 221), with a = 4.415 Å, b = 4.415 Å, c = 4.415 Å, α = 90.00°, β = 90.00° and γ = 90.00°. Symmetry generates all atoms from Hf at (0.000, 0.000, 0.500), Mo at (0.500, 0.500, 0.500) and C at (0.000, 0.000, 0.000).

The formation energy is -247.6 meV/atom. For the total magnetization, the calculation gives 0.000 μB/atom. Its final energy is -46.848 eV per atom.

Entry 11:
A PBEsol-optimized structure of Hf2MoPbC, computed with SCAN.

It has space group P4/mmm (No. 123), with a = 5.221 Å, b = 5.221 Å, c = 4.945 Å, α = 90.00°, β = 90.00° and γ = 90.00°. Symmetry generates all atoms from Hf at (0.000, 0.500, 0.000), Mo at (0.000, 0.000, 0.500), Pb at (0.000, 0.000, 0.000) and C at (0.500, 0.500, 0.500).

The formation energy is 3052.2 meV/atom. For the total magnetization, the calculation gives 0.400 μB/atom. Its final energy is -46.170 eV per atom.

Entry 12:
A PBEsol-optimized structure of HfMoRhC2, computed with SCAN.

It has space group P4/mmm (No. 123), with a = 4.078 Å, b = 4.078 Å, c = 4.972 Å, α = 90.00°, β = 90.00° and γ = 90.00°. Symmetry generates all atoms from Hf at (0.000, 0.000, 0.000), Mo at (0.000, 0.000, 0.500), Rh at (0.500, 0.500, 0.500) and C at (0.000, 0.500, 0.000).

The formation energy is 2459.3 meV/atom. For the total magnetization, the calculation gives 0.000 μB/atom. Its final energy is -27.847 eV per atom.

Entry 13:
A PBEsol-optimized structure of SrHf2MoC, computed with SCAN.

It has space group P4/mmm (No. 123), with a = 5.138 Å, b = 5.138 Å, c = 4.214 Å, α = 90.00°, β = 90.00° and γ = 90.00°. Symmetry generates all atoms from Sr at (0.000, 0.000, 0.000), Hf at (0.000, 0.500, 0.500), Mo at (0.500, 0.500, 0.500) and C at (0.500, 0.500, 0.000).

The formation energy is 1161.1 meV/atom. For the total magnetization, the calculation gives 0.000 μB/atom. Its final energy is -37.360 eV per atom.

Entry 14:
A PBEsol-optimized structure of Hf2SnCN, computed with SCAN.

It has space group P4/mmm (No. 123), with a = 4.245 Å, b = 4.245 Å, c = 4.616 Å, α = 90.00°, β = 90.00° and γ = 90.00°. Symmetry generates all atoms from Hf at (0.000, 0.500, 0.000), Sn at (0.000, 0.000, 0.500), C at (0.500, 0.500, 0.500) and N at (0.000, 0.000, 0.000).

For the total magnetization, the calculation gives 0.000 μB/atom. Its final energy is -35.363 eV per atom. Its formation energy from raw total energies is 371 kJ/mol of formula units.

Entry 15:
A PBEsol-optimized structure of HfTaCN, computed with SCAN.

It has space group R3m (No. 160, hexagonal axes), with a = 3.1602 Å, b = 3.1602 Å, c = 15.5690 Å, α = 90.00°, β = 90.00° and γ = 120.00°. Symmetry generates all atoms from Hf at (0.0000, 0.0000, 0.0000), Ta at (0.0000, 0.0000, 0.5053), C at (0.0000, 0.0000, 0.2500) and N at (0.0000, 0.0000, 0.7539).

For the total magnetization, the calculation gives 0.000 μB/atom. Its final energy is -38.382 eV per atom. Its formation energy from raw total energies is -471 kJ/mol of formula units.

Entry 16:
A PBEsol-optimized structure of HfTe2CN, computed with SCAN.

It has space group P4/mmm (No. 123), with a = 5.892 Å, b = 5.892 Å, c = 2.675 Å, α = 90.00°, β = 90.00° and γ = 90.00°. Symmetry generates all atoms from Hf at (0.000, 0.000, 0.000), Te at (0.000, 0.500, 0.500), C at (0.500, 0.500, 0.500) and N at (0.500, 0.500, 0.000).

For the total magnetization, the calculation gives 0.000 μB/atom. Its final energy is -30.291 eV per atom. Its formation energy from raw total energies is 493 kJ/mol of formula units.

Entry 17:
A PBEsol-optimized structure of HfZrCN, computed with SCAN.

It has space group R3m (No. 160, hexagonal axes), with a = 3.2416 Å, b = 3.2416 Å, c = 15.8807 Å, α = 90.00°, β = 90.00° and γ = 120.00°. Symmetry generates all atoms from Hf at (0.0000, 0.0000, 0.0000), Zr at (0.0000, 0.0000, 0.5016), C at (0.0000, 0.0000, 0.2523) and N at (0.0000, 0.0000, 0.7488).

For the total magnetization, the calculation gives 0.000 μB/atom. Its final energy is -29.754 eV per atom. Its formation energy from raw total energies is -603 kJ/mol of formula units.

Entry 18:
A PBEsol-optimized structure of NaHfOsC2, computed with SCAN.

It has space group P4/mmm (No. 123), with a = 4.002 Å, b = 4.002 Å, c = 4.581 Å, α = 90.00°, β = 90.00° and γ = 90.00°. Symmetry generates all atoms from Na at (0.000, 0.000, 0.000), Hf at (0.500, 0.500, 0.500), Os at (0.000, 0.000, 0.500) and C at (0.000, 0.500, 0.000).

The formation energy is 2955.7 meV/atom. For the total magnetization, the calculation gives 0.000 μB/atom. Its final energy is -28.838 eV per atom.

Entry 19:
A PBEsol-optimized structure of NaHfZr2C, computed with SCAN.

It has space group P4/mmm (No. 123), with a = 4.525 Å, b = 4.525 Å, c = 4.712 Å, α = 90.00°, β = 90.00° and γ = 90.00°. Symmetry generates all atoms from Na at (0.000, 0.000, 0.000), Hf at (0.500, 0.500, 0.000), Zr at (0.000, 0.500, 0.500) and C at (0.000, 0.000, 0.500).

The formation energy is 337.9 meV/atom. For the total magnetization, the calculation gives 0.000 μB/atom. Its final energy is -27.339 eV per atom.

Entry 20:
A PBEsol-optimized structure of HfRuCO2, computed with SCAN.

It has space group P4/mmm (No. 123), with a = 3.772 Å, b = 3.772 Å, c = 3.944 Å, α = 90.00°, β = 90.00° and γ = 90.00°. Symmetry generates all atoms from Hf at (0.000, 0.000, 0.000), Ru at (0.500, 0.500, 0.500), C at (0.500, 0.500, 0.000) and O at (0.000, 0.500, 0.500).

For the total magnetization, the calculation gives 0.254 μB/atom. Its final energy is -24.303 eV per atom. Its formation energy from raw total energies is -140 kJ/mol of formula units.